Record 1
Compound: CdCu
Source: the Alexandria database
Functional: PBE
Structure: optimized geometry

For the total DFT energy (no corrections), the calculation gives -17.81 eV for the cell shown. The value obtained for the density of states at the Fermi level is 0.225 states/eV/atom.

It has space group P4_2/mnm (No. 136), with a = 5.261 Å, b = 5.261 Å, c = 5.392 Å, α = 90.00°, β = 90.00° and γ = 90.00°. The distinct sites, in fractional coordinates, are Cd at (0.190, 0.190, 0.000) and Cu at (0.173, 0.173, 0.500).

***

Record 2
Compound: La2Pr7Pd2
Source: the Alexandria database
Functional: PBE
Structure: optimized geometry

For the total DFT energy (no corrections), the calculation gives -111.12 eV for the cell shown. The value obtained for the density of states at the Fermi level is 1.269 states/eV/atom.

It has space group C2/m (No. 12), with a = 11.282 Å, b = 10.154 Å, c = 6.817 Å, α = 90.00°, β = 109.22° and γ = 90.00°. The distinct sites, in fractional coordinates, are La at (0.000, 0.183, 0.000), Pr at (0.000, 0.000, 0.500), Pr at (0.120, 0.500, 0.238), Pr at (0.173, 0.309, 0.695) and Pd at (0.185, 0.000, 0.947).

***

Record 3
Compound: K3Zr2TiSe6
Source: the Alexandria database
Functional: PBE
Structure: optimized geometry

As for the uncorrected formation energy: -15.46 eV per formula unit. For the total DFT energy (no corrections), the calculation gives -129.30 eV for the cell shown. The value obtained for the density of states at the Fermi level is 0.585 states/eV/atom.

It has space group C2/m (No. 12), with a = 6.761 Å, b = 11.715 Å, c = 8.067 Å, α = 90.00°, β = 106.25° and γ = 90.00°. The distinct sites, in fractional coordinates, are K at (0.000, 0.000, 0.000), K at (0.000, 0.331, 0.000), Zr at (0.000, 0.166, 0.500), Ti at (0.000, 0.500, 0.500), Se at (0.230, 0.337, 0.699) and Se at (0.240, 0.000, 0.701).

***

Record 4
Compound: KTbAgBr5
Source: the Alexandria database
Functional: PBE
Structure: optimized geometry

As for the uncorrected formation energy: -11.66 eV per formula unit. For the total DFT energy (no corrections), the calculation gives -114.42 eV for the cell shown. The value obtained for the density of states at the Fermi level is 0.000 states/eV/atom.

It has space group C2/c (No. 15), with a = 9.198 Å, b = 12.992 Å, c = 10.669 Å, α = 90.00°, β = 111.69° and γ = 90.00°. The distinct sites, in fractional coordinates, are K at (0.000, 0.148, 0.250), Tb at (0.000, 0.500, 0.000), Ag at (0.000, 0.189, 0.750), Br at (0.000, 0.421, 0.250), Br at (0.117, 0.304, 0.601) and Br at (0.188, 0.059, 0.944).

***

Record 5
Compound: Tl3SbIr
Source: the Alexandria database
Functional: PBE
Structure: optimized geometry

As for the uncorrected formation energy: 1.63 eV per formula unit. For the total DFT energy (no corrections), the calculation gives -18.45 eV for the cell shown. The value obtained for the density of states at the Fermi level is 0.986 states/eV/atom.

It has space group Pm-3m (No. 221), with a = 5.313 Å, b = 5.313 Å, c = 5.313 Å, α = 90.00°, β = 90.00° and γ = 90.00°. The distinct sites, in fractional coordinates, are Tl at (0.000, 0.000, 0.500), Sb at (0.500, 0.500, 0.500) and Ir at (0.000, 0.000, 0.000).

***

Record 6
Compound: Pu6AsN5
Source: the Alexandria database
Functional: PBE
Structure: optimized geometry

As for the uncorrected formation energy: -13.14 eV per formula unit. For the total DFT energy (no corrections), the calculation gives -290.83 eV for the cell shown. The value obtained for the density of states at the Fermi level is 3.239 states/eV/atom.

It has space group C2/m (No. 12), with a = 6.252 Å, b = 10.846 Å, c = 6.247 Å, α = 90.00°, β = 109.95° and γ = 90.00°. The distinct sites, in fractional coordinates, are Pu at (0.225, 0.184, 0.244), Pu at (0.234, 0.000, 0.778), As at (0.000, 0.500, 0.500), N at (0.000, 0.000, 0.000), N at (0.000, 0.171, 0.500) and N at (0.000, 0.342, 0.000).

***

Record 7
Compound: CoPb2Au
Source: the Alexandria database
Functional: PBE
Structure: optimized geometry

For the total DFT energy (no corrections), the calculation gives -32.08 eV for the cell shown. The value obtained for the density of states at the Fermi level is 1.272 states/eV/atom.

It has space group I-4m2 (No. 119), with a = 4.192 Å, b = 4.192 Å, c = 9.915 Å, α = 90.00°, β = 90.00° and γ = 90.00°. The distinct sites, in fractional coordinates, are Co at (0.000, 0.000, 0.000), Pb at (0.000, 0.000, 0.500), Pb at (0.000, 0.500, 0.750) and Au at (0.000, 0.500, 0.250).

***

Record 8
Compound: UTlH2Cl8
Source: the Alexandria database
Functional: PBE
Structure: optimized geometry

For the total DFT energy (no corrections), the calculation gives -49.46 eV for the cell shown.

It has space group P-1 (No. 2), with a = 6.969 Å, b = 7.133 Å, c = 9.042 Å, α = 84.21°, β = 72.22° and γ = 77.13°. The distinct sites, in fractional coordinates, are U at (0.000, 0.000, 0.000), Tl at (0.000, 0.000, 0.500), H at (0.276, 0.601, 0.242), Cl at (0.201, 0.131, 0.143), Cl at (0.231, 0.671, 0.003), Cl at (0.238, 0.084, 0.738) and Cl at (0.291, 0.569, 0.384).

***

Record 9
Compound: Ba2MgScSe5
Source: the Alexandria database
Functional: PBE
Structure: optimized geometry

As for the uncorrected formation energy: -14.32 eV per formula unit. For the total DFT energy (no corrections), the calculation gives -174.05 eV for the cell shown. The value obtained for the density of states at the Fermi level is 0.818 states/eV/atom.

It has space group Cmc2_1 (No. 36), with a = 4.302 Å, b = 18.580 Å, c = 13.168 Å, α = 90.00°, β = 90.00° and γ = 90.00°. The distinct sites, in fractional coordinates, are Ba at (0.000, 0.112, 0.000), Ba at (0.000, 0.131, 0.623), Mg at (0.000, 0.441, 0.762), Sc at (0.000, 0.209, 0.327), Se at (0.000, 0.062, 0.367), Se at (0.000, 0.289, 0.960), Se at (0.000, 0.307, 0.689), Se at (0.000, 0.351, 0.317) and Se at (0.000, 0.497, 0.091).

***

Record 10
Compound: SrOsRhPb2
Source: the Alexandria database
Functional: PBE
Structure: optimized geometry

For the total DFT energy (no corrections), the calculation gives -16.45 eV for the cell shown. The value obtained for the density of states at the Fermi level is 1.593 states/eV/atom.

It has space group P4/mmm (No. 123), with a = 5.849 Å, b = 5.849 Å, c = 4.876 Å, α = 90.00°, β = 90.00° and γ = 90.00°. The distinct sites, in fractional coordinates, are Sr at (0.000, 0.000, 0.000), Os at (0.000, 0.000, 0.500), Rh at (0.500, 0.500, 0.500) and Pb at (0.000, 0.500, 0.000).

***

Record 11
Compound: Ta2BeTl
Source: the Alexandria database
Functional: PBE
Structure: optimized geometry

For the total DFT energy (no corrections), the calculation gives -28.48 eV for the cell shown. The value obtained for the density of states at the Fermi level is 0.616 states/eV/atom.

It has space group Pm (No. 6), with a = 3.342 Å, b = 3.660 Å, c = 5.941 Å, α = 90.00°, β = 106.30° and γ = 90.00°. The distinct sites, in fractional coordinates, are Ta at (0.000, 0.000, 0.000), Ta at (0.376, 0.500, 0.741), Be at (0.795, 0.000, 0.576) and Tl at (0.643, 0.500, 0.286).

***

Record 12
Compound: GaSiH2
Source: the Alexandria database
Functional: PBE
Structure: optimized geometry

For the total DFT energy (no corrections), the calculation gives -27.34 eV for the cell shown. The value obtained for the density of states at the Fermi level is 0.060 states/eV/atom.

It has space group Imm2 (No. 44), with a = 2.532 Å, b = 3.096 Å, c = 11.591 Å, α = 90.00°, β = 90.00° and γ = 90.00°. The distinct sites, in fractional coordinates, are Ga at (0.000, 0.000, 0.000), Si at (0.000, 0.500, 0.801), H at (0.000, 0.000, 0.735) and H at (0.000, 0.500, 0.077).

***

Record 13
Compound: AgTe2Ru
Source: the Alexandria database
Functional: PBE
Structure: optimized geometry

As for the uncorrected formation energy: 3.11 eV per formula unit. For the total DFT energy (no corrections), the calculation gives -61.21 eV for the cell shown. The value obtained for the density of states at the Fermi level is 0.926 states/eV/atom.

It has space group F-43m (No. 216), with a = 7.001 Å, b = 7.001 Å, c = 7.001 Å, α = 90.00°, β = 90.00° and γ = 90.00°. The distinct sites, in fractional coordinates, are Ag at (0.000, 0.000, 0.000), Te at (0.000, 0.000, 0.500), Te at (0.250, 0.250, 0.250) and Ru at (0.250, 0.250, 0.750).

***

Record 14
Compound: Dy8Sn5Hg
Source: the Alexandria database
Functional: PBE
Structure: optimized geometry

For the total DFT energy (no corrections), the calculation gives -132.39 eV for the cell shown. The value obtained for the density of states at the Fermi level is 0.668 states/eV/atom.

It has space group I-4 (No. 82), with a = 9.245 Å, b = 9.245 Å, c = 9.317 Å, α = 90.00°, β = 90.00° and γ = 90.00°. The distinct sites, in fractional coordinates, are Dy at (0.069, 0.179, 0.199), Dy at (0.074, 0.320, 0.557), Sn at (0.000, 0.000, 0.500), Sn at (0.126, 0.250, 0.877) and Hg at (0.000, 0.500, 0.250).

***

Record 15
Compound: La2Zn5Ni
Source: the Alexandria database
Functional: PBE
Structure: optimized geometry

For the total DFT energy (no corrections), the calculation gives -98.00 eV for the cell shown. The value obtained for the density of states at the Fermi level is 0.740 states/eV/atom.

It has space group Cmcm (No. 63), with a = 4.394 Å, b = 16.220 Å, c = 9.102 Å, α = 90.00°, β = 90.00° and γ = 90.00°. The distinct sites, in fractional coordinates, are La at (0.000, 0.000, 0.000), La at (0.000, 0.191, 0.250), Zn at (0.000, 0.189, 0.610), Zn at (0.000, 0.350, 0.519), Zn at (0.000, 0.407, 0.250) and Ni at (0.000, 0.439, 0.750).

***

Record 16
Compound: MgNiSb3
Source: the Alexandria database
Functional: PBE
Structure: optimized geometry

As for the uncorrected formation energy: 1.17 eV per formula unit. For the total DFT energy (no corrections), the calculation gives -18.58 eV for the cell shown. The value obtained for the density of states at the Fermi level is 0.766 states/eV/atom.

It has space group Pm-3m (No. 221), with a = 5.048 Å, b = 5.048 Å, c = 5.048 Å, α = 90.00°, β = 90.00° and γ = 90.00°. The distinct sites, in fractional coordinates, are Mg at (0.000, 0.000, 0.000), Ni at (0.500, 0.500, 0.500) and Sb at (0.000, 0.500, 0.500).

***

Record 17
Compound: Sc2BSb
Source: the Alexandria database
Functional: PBE
Structure: optimized geometry

As for the uncorrected formation energy: -0.78 eV per formula unit. For the total DFT energy (no corrections), the calculation gives -96.97 eV for the cell shown. The value obtained for the density of states at the Fermi level is 1.010 states/eV/atom.

It has space group I-42d (No. 122), with a = 7.154 Å, b = 7.154 Å, c = 6.170 Å, α = 90.00°, β = 90.00° and γ = 90.00°. The distinct sites, in fractional coordinates, are Sc at (0.185, 0.250, 0.125), B at (0.000, 0.000, 0.000) and Sb at (0.000, 0.000, 0.500).

***

Record 18
Compound: CsCrSb3
Source: the Alexandria database
Functional: PBE
Structure: optimized geometry

As for the uncorrected formation energy: 12.10 eV per formula unit. For the total DFT energy (no corrections), the calculation gives -10.75 eV for the cell shown. The value obtained for the density of states at the Fermi level is 2.014 states/eV/atom.

It has space group Pm-3m (No. 221), with a = 6.005 Å, b = 6.005 Å, c = 6.005 Å, α = 90.00°, β = 90.00° and γ = 90.00°. The distinct sites, in fractional coordinates, are Cs at (0.000, 0.000, 0.000), Cr at (0.500, 0.500, 0.500) and Sb at (0.000, 0.000, 0.500).

***

Record 19
Compound: AcAl9Rh2
Source: the Alexandria database
Functional: PBE
Structure: optimized geometry

For the total DFT energy (no corrections), the calculation gives -59.04 eV for the cell shown. The value obtained for the density of states at the Fermi level is 0.284 states/eV/atom.

It has space group P6/mmm (No. 191), with a = 8.0976 Å, b = 8.0976 Å, c = 4.0049 Å, α = 90.00°, β = 90.00° and γ = 120.00°. The distinct sites, in fractional coordinates, are Ac at (0.0000, 0.0000, 0.0000), Al at (0.0000, 0.5000, 0.0000), Al at (0.2093, 0.4187, 0.5000) and Rh at (0.3333, 0.6667, 0.0000).

***

Record 20
Compound: ReAgS3
Source: the Alexandria database
Functional: PBE
Structure: optimized geometry

As for the uncorrected formation energy: 8.15 eV per formula unit. For the total DFT energy (no corrections), the calculation gives -19.53 eV for the cell shown. The value obtained for the density of states at the Fermi level is 1.130 states/eV/atom.

It has space group Pm-3m (No. 221), with a = 4.760 Å, b = 4.760 Å, c = 4.760 Å, α = 90.00°, β = 90.00° and γ = 90.00°. The distinct sites, in fractional coordinates, are Re at (0.000, 0.000, 0.000), Ag at (0.500, 0.500, 0.500) and S at (0.000, 0.500, 0.500).

***

Record 21
Compound: PmTc4W
Source: the Alexandria database
Functional: PBE
Structure: optimized geometry

For the total DFT energy (no corrections), the calculation gives -230.15 eV for the cell shown. The value obtained for the density of states at the Fermi level is 1.557 states/eV/atom.

It has space group F-43m (No. 216), with a = 7.464 Å, b = 7.464 Å, c = 7.464 Å, α = 90.00°, β = 90.00° and γ = 90.00°. The distinct sites, in fractional coordinates, are Pm at (0.000, 0.000, 0.000), Tc at (0.125, 0.125, 0.375) and W at (0.250, 0.250, 0.750).

***

Record 22
Compound: SrSm2Zr
Source: the Alexandria database
Functional: PBE
Structure: optimized geometry

For the total DFT energy (no corrections), the calculation gives -19.01 eV for the cell shown. The value obtained for the density of states at the Fermi level is 1.404 states/eV/atom.

It has space group P4/mmm (No. 123), with a = 3.600 Å, b = 3.600 Å, c = 10.478 Å, α = 90.00°, β = 90.00° and γ = 90.00°. The distinct sites, in fractional coordinates, are Sr at (0.000, 0.000, 0.000), Sm at (0.500, 0.500, 0.293) and Zr at (0.000, 0.000, 0.500).

***

Record 23
Compound: Nd3Ti2Ge4
Source: the Alexandria database
Functional: PBE
Structure: optimized geometry

For the total DFT energy (no corrections), the calculation gives -109.31 eV for the cell shown. The value obtained for the density of states at the Fermi level is 0.742 states/eV/atom.

It has space group C2/m (No. 12), with a = 12.217 Å, b = 4.137 Å, c = 8.717 Å, α = 90.00°, β = 110.83° and γ = 90.00°. The distinct sites, in fractional coordinates, are Nd at (0.000, 0.000, 0.000), Nd at (0.115, 0.500, 0.699), Ti at (0.195, 0.500, 0.370), Ge at (0.083, 0.000, 0.410) and Ge at (0.211, 0.500, 0.072).

***

Record 24
Compound: TcIrPt
Source: the Alexandria database
Functional: PBE
Structure: optimized geometry

For the total DFT energy (no corrections), the calculation gives -51.55 eV for the cell shown. The value obtained for the density of states at the Fermi level is 0.706 states/eV/atom.

It has space group Imm2 (No. 44), with a = 2.750 Å, b = 3.882 Å, c = 8.322 Å, α = 90.00°, β = 90.00° and γ = 90.00°. The distinct sites, in fractional coordinates, are Tc at (0.000, 0.000, 0.000), Ir at (0.000, 0.000, 0.652) and Pt at (0.000, 0.000, 0.328).